[1]
K2PbSe: optimized geometry, GGA-PBE.

Lattice parameters (Å, degrees): 4.8546 4.8901 5.3228 90.00 90.00 90.00
Last column: nearest neighbours and their distance in Å.
Space group Pmmm (No. 47)
Asymmetric unit:
K 0.0000 0.0000 0.0000 [1 per cell]  4 K 3.45, 4 Se 3.60, 4 Pb 3.61
K 0.5000 0.5000 0.0000 [1 per cell]  4 K 3.45, 4 Pb 3.60, 4 Se 3.61
Pb 0.0000 0.5000 0.5000 [1 per cell]  4 Se 3.45, 8 K 3.60-3.61
Se 0.5000 0.0000 0.5000 [1 per cell]  4 Pb 3.45, 8 K 3.60-3.61

Calculated values
Excess energy over the best structure of this formula in the dataset in kJ/mol of formula units: 32
Formation energy (no corrections) in eV/atom: -0.44
Calculated density in Mg/m³: 4.79
Uncorrected energy in eV per atom: -2.79
D(E_F) in states/eV/atom: 0.35

[2]
KPbSe: optimized geometry, GGA-PBE.

Lattice parameters (Å, degrees): 6.8178 4.9795 7.0898 90.00 112.78 90.00
Last column: nearest neighbours and their distance in Å.
Space group Cm (No. 8)
Asymmetric unit:
K 0.0000 0.0000 0.0000 [2 per cell]  3 Se 3.43-3.47, 1 Pb 3.58
Pb 0.2262 0.0000 0.5483 [2 per cell]  3 Se 2.93
Se 0.2614 0.5000 0.3464 [2 per cell]  3 Pb 2.93

Calculated values
Excess energy over the best structure of this formula in the dataset in kJ/mol of formula units: 19
Formation energy (no corrections) in eV/atom: -0.49
Calculated density in Mg/m³: 4.87
Uncorrected energy in eV per atom: -3.25
D(E_F) in states/eV/atom: 0.29

[3]
KPbSe2: optimized geometry, GGA-PBE.

Lattice parameters (Å, degrees): 3.3376 4.0694 8.3095 90.00 90.00 90.00
Last column: nearest neighbours and their distance in Å.
Space group Pmmm (No. 47)
Asymmetric unit:
K 0.0000 0.0000 0.0000 [1 per cell]  2 K 3.34, 8 Se 3.45
Pb 0.0000 0.0000 0.5000 [1 per cell]  8 Se 3.26, 2 Pb 3.34
Se 0.5000 0.5000 0.2686 [2 per cell]  4 Pb 3.26, 2 Se 3.34, 4 K 3.45

Calculated values
Formation energy (no corrections) in eV/atom: -0.56
Calculated density in Mg/m³: 5.95
Uncorrected energy in eV per atom: -3.50
D(E_F) in states/eV/atom: 0.35

Q: Among the records above, which one has the highest uncorrected energy?
A: K2PbSe

Q: What is the calculated density in the first record?
A: 4.79 Mg/m³